1.
Density functional theory data (GGA-PBE) for a geometry-optimized CaNpZnO6 structure.

a = 5.3405 Å, b = 5.3405 Å, c = 10.2597 Å
α = 90.00°, β = 90.00°, γ = 120.00°
Last column: nearest neighbours and their distance in Å.
Atoms (fractional coordinates):
O 0.0133 0.6484 0.8601  1 Np 2.01, 1 Zn 2.10
Ca 0.0000 0.0000 0.0000  6 O 2.39
O 0.3649 0.0133 0.1399  1 Np 2.01, 1 Zn 2.10
O 0.6484 0.0133 0.3601  1 Np 2.01, 1 Zn 2.10
O 0.6484 0.6351 0.1399  1 Np 2.01, 1 Zn 2.10
O 0.9867 0.3516 0.1399  1 Np 2.01, 1 Zn 2.10
O 0.9867 0.6351 0.3601  1 Np 2.01, 1 Zn 2.10
O 0.3516 0.3649 0.8601  1 Np 2.01, 1 Zn 2.10
Zn 0.3333 0.6667 0.2500  6 O 2.10
O 0.6351 0.9867 0.8601  1 Np 2.01, 1 Zn 2.10
Ca 0.0000 0.0000 0.5000  6 O 2.39
O 0.3516 0.9867 0.6399  1 Np 2.01, 1 Zn 2.10
O 0.6351 0.6484 0.6399  1 Np 2.01, 1 Zn 2.10
O 0.0133 0.3649 0.6399  1 Np 2.01, 1 Zn 2.10
Np 0.3333 0.6667 0.7500  6 O 2.01
Zn 0.6667 0.3333 0.7500  6 O 2.10
O 0.3649 0.3516 0.3601  1 Np 2.01, 1 Zn 2.10
Np 0.6667 0.3333 0.2500  6 O 2.01

Computed properties:
As for the density of states at the Fermi level: 8.17 states/eV/f.u. The uncorrected formation energy is -2166.3 meV/atom.

2.
Density functional theory data (GGA-PBE) for a geometry-optimized CaZr2NpO8 structure.

a = 5.0249 Å, b = 5.0243 Å, c = 6.7115 Å
α = 90.00°, β = 90.00°, γ = 89.29°
Last column: nearest neighbours and their distance in Å.
Atoms (fractional coordinates):
O 0.3022 0.3020 0.0000  1 Np 2.16, 2 Zr 2.24
Zr 0.5000 0.5000 0.2579  6 O 2.07-2.24
O 0.8010 0.1992 0.2217  1 Np 2.05, 1 Zr 2.14
O 0.8011 0.1992 0.7783  1 Np 2.05, 1 Zr 2.14
O 0.6796 0.6796 0.5000  2 Zr 2.07, 1 Ca 2.29
O 0.3204 0.3204 0.5000  2 Zr 2.07, 1 Ca 2.29
Zr 0.5000 0.5000 0.7421  6 O 2.07-2.24
Np 0.0000 0.0000 0.0000  6 O 2.05-2.16
O 0.1989 0.8008 0.2217  1 Np 2.05, 1 Zr 2.14
O 0.6978 0.6980 0.0000  1 Np 2.16, 2 Zr 2.24
Ca 0.0000 0.0000 0.5000  6 O 2.29-2.34
O 0.1990 0.8008 0.7783  1 Np 2.05, 1 Zr 2.14

Computed properties:
The uncorrected formation energy is -3099.1 meV/atom.

3.
Density functional theory data (GGA-PBE) for a geometry-optimized CaNpOs4 structure.

a = 5.3403 Å, b = 5.3403 Å, c = 5.3403 Å
α = 60.00°, β = 60.00°, γ = 60.00°
Last column: nearest neighbours and their distance in Å.
Atoms (fractional coordinates):
Os 0.1245 0.6252 0.6252  6 Os 2.67
Np 0.2500 0.2500 0.2500  12 Os 3.13, 4 Ca 3.27
Os 0.6252 0.6252 0.6252  6 Os 2.67
Os 0.6252 0.1245 0.6252  6 Os 2.67
Os 0.6252 0.6252 0.1245  6 Os 2.67
Ca 0.0000 0.0000 0.0000  12 Os 3.13, 4 Np 3.27

Computed properties:
Its total energy is -9.8914 eV per atom. As for the density of states at the Fermi level: 12.57 states/eV/f.u.

V in Å³/cell, matching the order above: 253 169 108